[1]
! Sm4Rh6O19 GGA-PBE relaxed; values from VASP
! - space group = I23, No. 197
! - E_form (uncorrected) (meV/atom) = -1614
&SYSTEM
  ibrav = 0, nat = 29, ntyp = 3
/
ATOMIC_SPECIES
Sm 150.36 Sm.upf
Rh 102.91 Rh.upf
O 16.00 O.upf
CELL_PARAMETERS angstrom
-4.4259 4.4259 4.4259
4.4259 -4.4259 4.4259
4.4259 4.4259 -4.4259
ATOMIC_POSITIONS crystal
Sm 0.0000 0.0000 0.3212
Sm 0.0000 0.3212 0.0000
Sm 0.3212 0.0000 0.0000
Sm 0.6788 0.6788 0.6788
Rh 0.1646 0.5000 0.6646
Rh 0.3354 0.8354 0.5000
Rh 0.5000 0.3354 0.8354
Rh 0.5000 0.6646 0.1646
Rh 0.6646 0.1646 0.5000
Rh 0.8354 0.5000 0.3354
O 0.0000 0.0000 0.0000
O 0.0000 0.3451 0.3451
O 0.0000 0.6549 0.6549
O 0.0296 0.6726 0.2668
O 0.2372 0.6431 0.9704
O 0.2668 0.0296 0.6726
O 0.3274 0.3569 0.5942
O 0.3451 0.0000 0.3451
O 0.3451 0.3451 0.0000
O 0.3569 0.5942 0.3274
O 0.4058 0.7628 0.7332
O 0.5942 0.3274 0.3569
O 0.6431 0.9704 0.2372
O 0.6549 0.0000 0.6549
O 0.6549 0.6549 0.0000
O 0.6726 0.2668 0.0296
O 0.7332 0.4058 0.7628
O 0.7628 0.7332 0.4058
O 0.9704 0.2372 0.6431

***

[2]
! Sm3RhO6 GGA-PBE relaxed; values from VASP
! - space group = R-3, No. 148
! - E_form (uncorrected) (meV/atom) = -2739
&SYSTEM
  ibrav = 0, nat = 20, ntyp = 3
/
ATOMIC_SPECIES
Sm 150.36 Sm.upf
Rh 102.91 Rh.upf
O 16.00 O.upf
CELL_PARAMETERS angstrom
4.9574 2.8622 3.4451
-4.9574 2.8622 3.4451
0.0000 -5.7244 3.4451
ATOMIC_POSITIONS crystal
Sm 0.0815 0.5927 0.7676
Sm 0.2324 0.9185 0.4073
Sm 0.4073 0.2324 0.9185
Sm 0.5927 0.7676 0.0815
Sm 0.7676 0.0815 0.5927
Sm 0.9185 0.4073 0.2324
Rh 0.0000 0.0000 0.0000
Rh 0.5000 0.5000 0.5000
O 0.0597 0.9256 0.7014
O 0.0744 0.2986 0.9403
O 0.1956 0.5705 0.4378
O 0.2986 0.9403 0.0744
O 0.4295 0.5622 0.8044
O 0.4378 0.1956 0.5705
O 0.5622 0.8044 0.4295
O 0.5705 0.4378 0.1956
O 0.7014 0.0597 0.9256
O 0.8044 0.4295 0.5622
O 0.9256 0.7014 0.0597
O 0.9403 0.0744 0.2986

***

[3]
! Sm2TlRhO6 GGA-PBE relaxed; values from VASP
! - space group = P2_1/c, No. 14
! - E_form (uncorrected) (meV/atom) = -2030
&SYSTEM
  ibrav = 0, nat = 20, ntyp = 4
/
ATOMIC_SPECIES
Sm 150.36 Sm.upf
Tl 204.38 Tl.upf
Rh 102.91 Rh.upf
O 16.00 O.upf
CELL_PARAMETERS angstrom
5.5734 0.0000 0.0000
0.0000 5.9779 0.0000
-5.3640 0.0000 8.1325
ATOMIC_POSITIONS crystal
Sm 0.2210 0.0744 0.2495
Sm 0.2210 0.4256 0.7495
Sm 0.7790 0.5744 0.2505
Sm 0.7790 0.9256 0.7505
Tl 0.5000 0.0000 0.0000
Tl 0.5000 0.5000 0.5000
Rh 0.0000 0.0000 0.5000
Rh 0.0000 0.5000 0.0000
O 0.0962 0.2056 0.9256
O 0.0962 0.2944 0.4256
O 0.2333 0.6835 0.9321
O 0.2333 0.8165 0.4321
O 0.3712 0.0595 0.7317
O 0.3712 0.4405 0.2317
O 0.6288 0.5595 0.7683
O 0.6288 0.9405 0.2683
O 0.7667 0.1835 0.5679
O 0.7667 0.3165 0.0679
O 0.9038 0.7056 0.5744
O 0.9038 0.7944 0.0744

***

[4]
! Sn3RhO GGA-PBE relaxed; values from VASP
! - space group = Pm-3m, No. 221
! - distance to the lowest polymorph of the same formula (eV/atom) = 0.236
! - E_form (uncorrected) (meV/atom) = 166
&SYSTEM
  ibrav = 0, nat = 5, ntyp = 3
/
ATOMIC_SPECIES
Sn 118.71 Sn.upf
Rh 102.91 Rh.upf
O 16.00 O.upf
CELL_PARAMETERS angstrom
5.0506 0.0000 0.0000
0.0000 5.0506 0.0000
0.0000 0.0000 5.0506
ATOMIC_POSITIONS crystal
Sn 0.0000 0.0000 0.5000
Sn 0.0000 0.5000 0.0000
Sn 0.5000 0.0000 0.0000
Rh 0.0000 0.0000 0.0000
O 0.5000 0.5000 0.5000